Record 1
Here is a relaxed CaHgBr2Cl crystal from Alexandria. Energies are from PBE.

- M_tot: 0.0 Bohr magnetons per cell
- DFT total energy: -2.22 eV per atom
- Space group: P4/mmm, No. 123

abc: 5.698 5.227 5.698
angles: 90.00 90.00 90.00
Sites, in units of the cell vectors:
Br (0.000, 0.000, 0.500)
Br (0.500, 0.000, 0.000)
Ca (0.500, 0.500, 0.500)
Hg (0.000, 0.000, 0.000)
Cl (0.000, 0.500, 0.000)

=====

Record 2
Here is a relaxed VFe3Mo crystal from Alexandria. Energies are from PBE.

- Calculated formation energy: 1183 meV/atom
- M_tot: 4.7 Bohr magnetons per cell
- Space group: Pm-3m, No. 221
- ΔE to the lowest computed polymorph: 0 meV per atom

abc: 4.166 4.166 4.166
angles: 90.00 90.00 90.00
Sites, in units of the cell vectors:
Fe (0.000, 0.500, 0.000)
Fe (0.500, 0.000, 0.000)
Fe (0.000, 0.000, 0.500)
Mo (0.500, 0.500, 0.500)
V (0.000, 0.000, 0.000)